Ba7Ga4P9: relaxed, GGA-PBEsol.

Results
ΔH_f (0 K): -0.8637 eV/atom
V: 26.851 A^3/atom
Total energy: -195.6 eV for the cell shown
Magnetic moment: 0.00 μB/f.u.

```
40
Lattice="6.611 0.000 0.000 0.000 9.849 0.000 0.000 0.000 16.494" Properties=species:S:1:pos:R:3 pbc="T T T"
Ba 0.395 7.668 10.304
Ba 3.639 0.000 4.680
Ba 2.972 4.925 3.567
Ba 3.639 0.000 11.814
Ba 6.217 7.106 2.057
Ba 3.975 0.000 0.000
Ba 0.395 7.668 6.190
Ba 6.217 7.106 14.437
Ba 6.217 2.744 14.437
Ba 0.395 2.181 10.304
Ba 2.636 4.925 8.247
Ba 0.395 2.181 6.190
Ba 6.217 2.744 2.057
Ba 2.972 4.925 12.927
P 3.729 2.873 6.145
P 5.537 0.000 8.247
P 3.729 6.977 10.349
P 3.729 6.977 6.145
P 6.489 4.925 12.134
P 2.882 2.052 2.102
P 0.346 0.000 0.000
P 2.882 7.797 2.102
P 2.882 7.797 14.392
P 0.122 0.000 3.887
P 6.489 4.925 4.360
P 4.547 4.925 0.000
P 1.074 4.925 0.000
P 3.729 2.873 10.349
P 2.064 0.000 8.247
P 6.265 4.925 8.247
P 0.122 0.000 12.607
P 2.882 2.052 14.392
Ga 3.806 1.733 8.247
Ga 5.065 4.925 10.280
Ga 5.065 4.925 6.214
Ga 1.546 0.000 14.461
Ga 3.806 8.116 8.247
Ga 2.805 6.658 0.000
Ga 2.805 3.192 0.000
Ga 1.546 0.000 2.033
```


Tm5Si2Sb2: relaxed, GGA-PBEsol.

Results
ΔE_f (raw): -0.943 eV/atom
V: 23.834 A^3/atom
Total energy: -107.2 eV for the cell shown
Magnetic moment: 0.00 μB/f.u.

```
18
Lattice="7.623 0.000 0.000 -3.812 7.361 0.000 0.000 0.000 7.645" Properties=species:S:1:pos:R:3 pbc="T T T"
Si 6.646 0.000 2.849
Si 2.835 0.000 0.974
Si 0.977 0.000 4.796
Si 4.788 0.000 6.672
Tm 0.000 0.000 0.000
Tm 6.339 1.856 5.110
Tm 5.095 1.856 1.288
Tm 2.528 5.505 5.110
Tm 2.528 1.856 6.358
Tm -2.528 5.505 2.535
Tm 3.812 0.000 3.823
Tm -1.284 5.505 6.358
Tm 1.284 5.505 1.288
Tm 1.284 1.856 2.535
Sb 3.812 4.318 0.000
Sb 3.812 3.043 3.823
Sb 0.000 3.043 0.000
Sb 0.000 4.318 3.823
```


Tl2NiAs: relaxed, GGA-PBEsol.

Results
ΔH_f (0 K): 0.4725 eV/atom
V: 20.239 A^3/atom
Total energy: -14.6 eV for the cell shown
Energy above the lowest structure with this stoichiometry: 529.4 meV/atom
Magnetic moment: 0.00 μB/f.u.

```
4
Lattice="-3.743 -0.669 -3.020 -3.977 -2.322 1.540 -4.135 2.454 0.678" Properties=species:S:1:pos:R:3 pbc="T T T"
As 0.000 0.000 0.000
Ni -5.927 -0.268 -0.401
Tl -8.891 -0.402 -0.602
Tl -2.964 -0.134 -0.201
```


SiSn3N: relaxed, GGA-PBEsol.

Results
ΔE_f (raw): 1.499 eV/atom
V: 25.780 A^3/atom
Total energy: -19.6 eV for the cell shown
Magnetic moment: 0.00 μB/f.u.

```
5
Lattice="-2.519 0.667 4.327 -2.513 -4.309 -0.799 3.586 -2.551 2.481" Properties=species:S:1:pos:R:3 pbc="T T T"
Sn -1.256 -2.154 -0.399
Sn -1.260 0.333 2.164
Sn 1.793 -1.275 1.240
Si 0.000 0.000 0.000
N -0.723 -3.096 3.005
```


InTeSe4: relaxed, GGA-PBEsol.

Results
ΔE_f (raw): 0.392 eV/atom
V: 22.679 A^3/atom
Total energy: -19.6 eV for the cell shown
Magnetic moment: 0.00 μB/f.u.

```
6
Lattice="-1.191 -5.022 -2.587 -0.644 -4.791 3.156 -5.224 -2.385 0.594" Properties=species:S:1:pos:R:3 pbc="T T T"
In 0.000 0.000 0.000
Te -5.295 -9.149 0.872
Se -3.246 -7.075 -0.842
Se -2.657 -4.591 0.438
Se -2.975 -6.961 1.998
Se -5.241 -5.771 0.731
```


NdP2: relaxed, GGA-PBEsol.

Results
ΔH_f (0 K): -1.0725 eV/atom
V: 20.668 A^3/atom
Total energy: -79.9 eV for the cell shown
Magnetic moment: 0.00 μB/f.u.

```
12
Lattice="3.954 0.000 0.009 0.000 6.481 0.000 -1.248 0.000 9.674" Properties=species:S:1:pos:R:3 pbc="T T T"
P 3.277 4.025 0.459
P 2.108 1.048 8.093
P 0.754 2.193 3.252
P 2.031 0.784 4.391
P -0.570 2.457 9.224
P 0.676 5.697 5.291
P 0.599 5.434 1.590
P 1.953 4.289 6.431
Nd 0.030 5.302 8.312
Nd 2.677 1.179 1.370
Nd 0.076 2.062 6.203
Nd 2.631 4.420 3.480
```


Rb3C: relaxed, GGA-PBEsol.

Results
ΔH_f (0 K): 1.1604 eV/atom
V: 57.801 A^3/atom
Total energy: -16.2 eV for the cell shown
Energy above the lowest structure with this stoichiometry: 51.1 meV/atom
Magnetic moment: 1.75 μB/f.u.

```
8
Lattice="-1.630 -3.677 -1.241 10.351 -4.406 -0.546 -5.888 -0.623 9.581" Properties=species:S:1:pos:R:3 pbc="T T T"
Rb 6.365 -4.491 1.376
Rb -1.537 -4.003 3.172
Rb 4.370 -4.702 4.623
Rb -0.024 -5.707 6.234
Rb -3.532 -4.214 6.419
Rb 2.857 -2.998 1.561
C 3.716 -5.902 1.899
C -0.882 -2.803 5.895
```


BaTeOF2: relaxed, GGA-PBEsol.

Results
ΔE_f (raw): -1.269 eV/atom
V: 24.049 A^3/atom
Total energy: -21.1 eV for the cell shown
Magnetic moment: 2.93 μB/f.u.

```
5
Lattice="4.873 0.000 0.000 0.000 4.873 0.000 0.000 0.000 5.064" Properties=species:S:1:pos:R:3 pbc="T T T"
F 2.436 0.000 0.000
F 0.000 2.436 0.000
Ba 0.000 0.000 0.000
Te 2.436 2.436 2.532
O 0.000 0.000 2.532
```


LiTlSe: relaxed, GGA-PBEsol.

Results
ΔE_f (raw): -0.689 eV/atom
V: 23.920 A^3/atom
Total energy: -10.5 eV for the cell shown
Magnetic moment: 0.00 μB/f.u.

```
3
Lattice="4.279 0.000 0.000 -2.140 3.706 0.000 0.000 0.000 4.525" Properties=species:S:1:pos:R:3 pbc="T T T"
Se 0.000 2.471 3.724
Li 0.000 0.000 3.791
Tl 2.140 1.235 1.534
```


Sr2TcRu: relaxed, GGA-PBEsol.

Results
ΔH_f (0 K): 1.2166 eV/atom
V: 22.899 A^3/atom
Total energy: -20.3 eV for the cell shown
Energy above the lowest structure with this stoichiometry: 78.9 meV/atom
Magnetic moment: 2.94 μB/f.u.

```
4
Lattice="5.060 0.000 0.000 2.530 4.382 0.000 2.530 1.461 4.131" Properties=species:S:1:pos:R:3 pbc="T T T"
Tc 5.060 2.921 2.066
Sr 2.530 1.461 1.033
Sr 7.590 4.382 3.098
Ru 0.000 0.000 0.000
```


In2AgMo: relaxed, GGA-PBEsol.

Results
ΔH_f (0 K): 0.4154 eV/atom
V: 18.227 A^3/atom
Total energy: -19.4 eV for the cell shown
Energy above the lowest structure with this stoichiometry: 157.0 meV/atom
Magnetic moment: 0.04 μB/f.u.

```
4
Lattice="-2.531 -0.758 3.874 -3.459 -3.166 -0.041 0.476 -4.023 2.362" Properties=species:S:1:pos:R:3 pbc="T T T"
In -4.135 -5.960 4.646
In -1.378 -1.987 1.549
Mo -2.757 -3.974 3.098
Ag 0.000 0.000 0.000
```


Li4Co3NiP4O16: relaxed, GGA-PBEsol.

Results
ΔE_f (raw): -1.846 eV/atom
V: 9.782 A^3/atom
Total energy: -196.1 eV for the cell shown
Magnetic moment: 11.00 μB/f.u.

```
28
Lattice="-1.875 -0.892 4.182 5.234 -1.639 1.998 1.884 9.458 2.825" Properties=species:S:1:pos:R:3 pbc="T T T"
O 0.669 1.950 4.813
O 3.858 7.492 4.569
O 0.879 1.008 2.098
O 4.982 4.822 4.379
O 1.248 8.759 3.917
O 1.946 5.773 3.220
O -0.287 4.962 4.824
O 1.747 6.738 5.895
O 2.856 1.266 5.648
O -1.227 0.236 3.410
O 2.153 3.651 5.884
O 0.467 4.094 2.137
O 1.388 -1.017 4.056
O 3.948 6.048 6.735
O 3.920 0.055 3.259
O 2.904 2.784 3.204
Co 2.132 0.868 3.655
Co 0.492 6.883 4.358
Co -1.320 1.748 4.894
P 0.973 5.554 2.010
P -0.614 0.524 2.039
P 1.645 2.196 6.022
P 3.245 7.211 5.944
Li 1.318 8.151 7.492
Li 3.932 3.086 5.009
Li 3.940 7.330 8.493
Li 1.323 3.903 4.014
Ni 3.962 6.026 3.094
```


Rb2CdBi2: relaxed, GGA-PBEsol.

Results
ΔH_f (0 K): -0.2553 eV/atom
V: 37.520 A^3/atom
Total energy: -26.2 eV for the cell shown
Magnetic moment: 0.00 μB/f.u.

```
10
Lattice="6.021 0.000 0.000 0.000 7.894 0.000 0.000 0.000 7.894" Properties=species:S:1:pos:R:3 pbc="T T T"
Rb 3.010 2.643 1.304
Rb 3.010 1.304 5.251
Rb 3.010 6.590 2.643
Rb 3.010 5.251 6.590
Bi 0.000 2.832 6.779
Bi 0.000 5.062 1.115
Bi 0.000 1.115 2.832
Bi 0.000 6.779 5.062
Cd 0.000 0.000 0.000
Cd 0.000 3.947 3.947
```


ZnFeHg3: relaxed, GGA-PBEsol.

Results
ΔH_f (0 K): 0.6149 eV/atom
V: 25.019 A^3/atom
Total energy: -9.2 eV for the cell shown
Magnetic moment: 2.26 μB/f.u.

```
5
Lattice="5.001 0.000 0.000 0.000 5.001 0.000 0.000 0.000 5.001" Properties=species:S:1:pos:R:3 pbc="T T T"
Hg 0.000 2.501 0.000
Hg 2.501 0.000 0.000
Hg 0.000 0.000 2.501
Fe 0.000 0.000 0.000
Zn 2.501 2.501 2.501
```


InRu2Se: relaxed, GGA-PBEsol.

Results
ΔE_f (raw): 0.495 eV/atom
V: 15.967 A^3/atom
Total energy: -25.2 eV for the cell shown
Energy above the lowest structure with this stoichiometry: 361.5 meV/atom
Magnetic moment: 0.01 μB/f.u.

```
4
Lattice="-0.404 -3.752 -1.127 2.935 -1.040 2.411 -3.978 1.777 2.393" Properties=species:S:1:pos:R:3 pbc="T T T"
Se 1.265 -2.396 0.642
Ru -1.559 -2.185 0.954
Ru 0.000 0.000 0.000
In 0.111 -0.830 2.723
```


Li4Cu3SnP4O16: relaxed, GGA-PBEsol.

Results
ΔE_f (raw): -1.862 eV/atom
V: 10.649 A^3/atom
Total energy: -184.4 eV for the cell shown
Magnetic moment: 1.09 μB/f.u.

```
28
Lattice="-3.975 1.433 2.215 -2.208 -5.480 -0.418 4.812 -2.628 9.035" Properties=species:S:1:pos:R:3 pbc="T T T"
Li -0.222 -1.837 5.362
Li -1.383 -4.719 5.142
Li -5.397 -2.870 2.186
Li -4.240 0.002 2.405
Sn 2.276 -4.593 6.233
O 0.384 -2.727 8.823
O -2.154 -1.365 4.635
O -3.066 -3.627 4.462
O 0.606 -5.775 6.110
O -0.257 -0.421 6.884
O 3.570 -2.152 9.359
O -3.840 -1.776 1.607
O -0.009 -3.513 4.142
O -2.084 -4.344 1.867
O -0.814 -1.192 2.107
O 1.333 -0.888 4.609
O -2.426 0.780 2.600
O -1.611 -3.039 6.399
O 2.039 -4.658 8.330
O 1.892 -2.583 6.353
O -0.514 -4.955 8.654
P 2.507 -1.426 5.457
P -1.144 0.318 1.876
P -2.818 -2.483 5.484
P 0.805 -4.222 9.145
Cu 1.912 -1.424 8.580
Cu -1.977 -2.626 2.913
Cu -2.509 0.646 4.785
```


KTlZn: relaxed, GGA-PBEsol.

Results
ΔH_f (0 K): 0.0750 eV/atom
V: 28.731 A^3/atom
Total energy: -5.1 eV for the cell shown
Magnetic moment: 0.00 μB/f.u.

```
3
Lattice="3.975 0.000 0.000 0.000 5.004 0.000 0.000 -2.502 4.334" Properties=species:S:1:pos:R:3 pbc="T T T"
Tl 1.987 0.000 2.889
K 0.000 0.000 0.000
Zn 1.987 2.502 1.445
```


TaBe2Sb: relaxed, GGA-PBEsol.

Results
ΔE_f (raw): 0.251 eV/atom
V: 14.710 A^3/atom
Total energy: -24.1 eV for the cell shown
Magnetic moment: 0.00 μB/f.u.

```
4
Lattice="-0.931 -2.207 -1.748 -1.210 -1.884 3.025 -4.662 2.442 -0.344" Properties=species:S:1:pos:R:3 pbc="T T T"
Sb -1.071 -2.046 0.638
Be -1.878 -0.336 -0.961
Be -3.715 0.570 -1.131
Ta -2.936 0.279 1.340
```


HfNbPS2: relaxed, GGA-PBEsol.

Results
ΔE_f (raw): 0.053 eV/atom
V: 20.592 A^3/atom
Total energy: -35.6 eV for the cell shown
Energy above the lowest structure with this stoichiometry: 0.0 meV/atom
Magnetic moment: 0.01 μB/f.u.

```
5
Lattice="-0.139 4.547 0.681 -2.241 0.528 -3.982 -4.247 -0.478 2.326" Properties=species:S:1:pos:R:3 pbc="T T T"
Nb 0.000 0.000 0.000
S -1.120 0.264 -1.991
S -0.069 2.274 0.341
Hf -3.313 2.299 -0.487
P -2.124 -0.239 1.163
```


TbGePd2: relaxed, GGA-PBEsol.

Results
ΔH_f (0 K): -0.9430 eV/atom
V: 17.760 A^3/atom
Total energy: -102.6 eV for the cell shown
Magnetic moment: 0.00 μB/f.u.

```
16
Lattice="-2.567 -2.860 -3.972 3.441 -5.792 1.947 -5.405 -1.640 4.674" Properties=species:S:1:pos:R:3 pbc="T T T"
Tb -0.954 -3.340 -1.934
Tb -0.331 -5.528 3.085
Tb -4.199 -4.764 -0.436
Tb -3.576 -6.953 4.583
Pd -4.560 -2.595 1.648
Pd -1.026 -0.849 0.597
Pd -4.868 -7.148 1.281
Pd 0.029 -7.697 1.001
Pd -3.196 -4.891 2.420
Pd 0.338 -3.145 1.369
Pd -1.335 -5.402 0.229
Pd -3.504 -9.443 2.052
Ge -4.272 -3.307 4.029
Ge -2.421 -7.204 1.794
Ge -2.110 -3.089 0.856
Ge -0.259 -6.986 -1.379
```